Material: CsVPO2
Method: DFT, PBE with a Hubbard U
State: relaxed

* energy: -18.58 eV per formula unit
* DOS(E_F): 0.2079 states/eV per atom
* energy above the most stable polymorph in this dataset: 1573.7 meV per atom

a b c (Å): 4.1956 4.1956 6.9787
angles (deg): 90.00 90.00 90.00
With the nearest neighbours (Å) after each atom.
Element x y z (fractional)
O  0.5000  0.0000  0.0000  2 Cs 2.10
P  0.0000  0.0000  0.5000  4 V 2.97
V  0.5000  0.5000  0.5000  4 P 2.97
O  0.0000  0.5000  0.0000  2 Cs 2.10
Cs  0.0000  0.0000  0.0000  4 O 2.10